# 1
## NaNb2Te2 (GGA-PBE)

Data for crystalline NaNb2Te2 at its relaxed geometry.

Spin magnetization ... 0.00 μB/f.u.
Formation energy from raw total energies ... -0.4181 eV/atom

Cell lengths 8.5067, 8.5067, 8.5067 Å; angles 152.52, 152.52, 39.26 degrees
With the nearest neighbours (Å) after each atom.
Positions (direct):
Na1 0.0000 0.0000 0.0000  8 Te 3.48
Nb1 0.2500 0.7500 0.5000  4 Nb 2.86, 4 Te 2.86
Nb2 0.7500 0.2500 0.5000  4 Nb 2.86, 4 Te 2.86
Te1 0.3761 0.3761 0.0000  4 Nb 2.86
Te2 0.6239 0.6239 0.0000  4 Nb 2.86

---

# 2
## CaGdAlCu (GGA-PBE)

Data for crystalline CaGdAlCu at its relaxed geometry.

Raw total energy ... -6.17 eV per atom
Spin magnetization ... 7.17 μB/f.u.

Cell lengths 5.1148, 5.1148, 5.1148 Å; angles 60.00, 60.00, 60.00 degrees
With the nearest neighbours (Å) after each atom.
Positions (direct):
Ca1 0.0000 0.0000 0.0000  4 Al 3.13, 4 Cu 3.13
Gd1 0.5000 0.5000 0.5000  4 Cu 3.13, 4 Al 3.13
Al1 0.2500 0.2500 0.2500  4 Gd 3.13, 4 Ca 3.13
Cu1 0.7500 0.7500 0.7500  4 Gd 3.13, 4 Ca 3.13

---

# 3
## Ti4HPb3 (GGA-PBE)

Data for crystalline Ti4HPb3 at its relaxed geometry.

Raw total energy ... -5.75 eV per atom
Spin magnetization ... 0.00 μB/f.u.

Cell lengths 3.8861, 8.4350, 10.3636 Å; angles 90.00, 90.00, 90.00 degrees
With the nearest neighbours (Å) after each atom.
Positions (direct):
Ti1 0.2500 0.0050 0.0961  1 H 2.15
Ti2 0.2500 0.2500 0.9089  2 H 1.94
Ti3 0.2500 0.4950 0.0961  1 H 2.15
Ti4 0.2500 0.7500 0.9007  1 H 1.95
Ti5 0.7500 0.2500 0.0993  1 H 1.95
Ti6 0.7500 0.5050 0.9039  1 H 2.15
Ti7 0.7500 0.7500 0.0911  2 H 1.94
Ti8 0.7500 0.9950 0.9039  1 H 2.15
H1 0.2500 0.7500 0.0891  5 Ti 1.94-2.15
H2 0.7500 0.2500 0.9109  5 Ti 1.94-2.15
Pb1 0.2500 0.0504 0.6580  3 Ti 3.10-3.24, 3 Pb 3.19-3.37
Pb2 0.2500 0.2500 0.3422  4 Ti 3.18-3.28, 4 Pb 3.19
Pb3 0.2500 0.4496 0.6580  3 Ti 3.10-3.24, 3 Pb 3.19-3.37
Pb4 0.7500 0.5504 0.3420  3 Ti 3.10-3.24, 3 Pb 3.19-3.37
Pb5 0.7500 0.7500 0.6578  4 Ti 3.18-3.28, 4 Pb 3.19
Pb6 0.7500 0.9496 0.3420  3 Ti 3.10-3.24, 3 Pb 3.19-3.37

---

# 4
## ZrTl2Pt3O12 (GGA-PBE)

Data for crystalline ZrTl2Pt3O12 at its relaxed geometry.

Spin magnetization ... 2.04 μB/f.u.
Formation energy from raw total energies ... -0.7712 eV/atom

Cell lengths 7.5835, 7.5835, 7.5835 Å; angles 57.37, 57.37, 57.37 degrees
With the nearest neighbours (Å) after each atom.
Positions (direct):
Zr1 0.0000 0.0000 0.0000  6 O 2.10
Tl1 0.2966 0.2966 0.2966  6 O 2.50-2.55
Tl2 0.7034 0.7034 0.7034  6 O 2.50-2.55
Pt1 0.0000 0.0000 0.5000  6 O 1.98-1.99
Pt2 0.0000 0.5000 0.0000  6 O 1.98-1.99
Pt3 0.5000 0.0000 0.0000  6 O 1.98-1.99
O1 0.0620 0.6743 0.6743  2 Pt 1.99
O2 0.0714 0.0714 0.6641  1 Pt 1.98, 1 Zr 2.10
O3 0.0714 0.6641 0.0714  1 Pt 1.98, 1 Zr 2.10
O4 0.3257 0.3257 0.9380  2 Pt 1.99
O5 0.3257 0.9380 0.3257  2 Pt 1.99
O6 0.3359 0.9286 0.9286  1 Pt 1.98, 1 Zr 2.10
O7 0.6641 0.0714 0.0714  1 Pt 1.98, 1 Zr 2.10
O8 0.6743 0.0620 0.6743  2 Pt 1.99
O9 0.6743 0.6743 0.0620  2 Pt 1.99
O10 0.9286 0.3359 0.9286  1 Pt 1.98, 1 Zr 2.10
O11 0.9286 0.9287 0.3359  1 Pt 1.98, 1 Zr 2.10
O12 0.9380 0.3257 0.3257  2 Pt 1.99

---

# 5
## ScFeN3 (GGA-PBE)

Data for crystalline ScFeN3 at its relaxed geometry.

Spin magnetization ... 1.33 μB/f.u.
Formation energy from raw total energies ... 1.7108 eV/atom

Cell lengths 4.0066, 4.0066, 4.0066 Å; angles 90.00, 90.00, 90.00 degrees
With the nearest neighbours (Å) after each atom.
Positions (direct):
Sc1 0.0000 0.0000 0.0000  6 N 2.00
Fe1 0.5000 0.5000 0.5000  12 N 2.83
N1 0.0000 0.0000 0.5000  2 Sc 2.00
N2 0.0000 0.5000 0.0000  2 Sc 2.00
N3 0.5000 0.0000 0.0000  2 Sc 2.00

---

# 6
## NaSbN (GGA-PBE)

Data for crystalline NaSbN at its relaxed geometry.

Relative energy among the computed polymorphs ... 132 meV/atom
Spin magnetization ... 0.00 μB/f.u.
Formation energy from raw total energies ... 0.2352 eV/atom

Cell lengths 3.2900, 3.2917, 12.8755 Å; angles 96.95, 90.26, 119.97 degrees
With the nearest neighbours (Å) after each atom.
Positions (direct):
Na1 0.0000 0.0000 0.0000  3 N 2.53
Na2 0.2417 0.4626 0.7365  3 N 2.53
Sb1 0.7432 0.4776 0.2251  3 N 2.25
Sb2 0.8318 0.6503 0.5113  3 N 2.25
N1 0.3781 0.7509 0.1306  3 Sb 2.25
N2 0.5306 0.0447 0.6056  3 Sb 2.25

---

# 7
## UP2Os2Ru (GGA-PBE)

Data for crystalline UP2Os2Ru at its relaxed geometry.

Raw total energy ... -9.40 eV per atom
Spin magnetization ... 0.00 μB/f.u.

Cell lengths 3.8355, 6.5989, 7.5078 Å; angles 90.00, 90.00, 90.00 degrees
With the nearest neighbours (Å) after each atom.
Positions (direct):
U1 0.0000 0.1483 0.0000  3 P 2.67-2.98, 2 Os 2.83, 2 Ru 2.89
U2 0.0000 0.8517 0.5000  3 P 2.67-2.98, 2 Os 2.83, 2 Ru 2.89
P1 0.0000 0.3619 0.3026  4 Os 2.32-2.42, 2 Ru 2.45
P2 0.0000 0.6381 0.8026  4 Os 2.32-2.42, 2 Ru 2.45
P3 0.5000 0.1406 0.6963  2 Ru 2.34-2.39, 3 Os 2.36-2.45
P4 0.5000 0.8594 0.1963  2 Ru 2.34-2.39, 3 Os 2.36-2.45
Os1 0.0000 0.3512 0.6110  4 P 2.32-2.45
Os2 0.0000 0.6488 0.1110  4 P 2.32-2.45
Os3 0.5000 0.4324 0.8786  3 P 2.36-2.42
Os4 0.5000 0.5676 0.3786  3 P 2.36-2.42
Ru1 0.5000 0.1485 0.3779  4 P 2.34-2.45
Ru2 0.5000 0.8515 0.8779  4 P 2.34-2.45